Record 1
The following is a DFT calculation (GGA-PBE) of an optimized crystal structure of NaMg2TlHg.

Summary:
Total moment: 0.00 μB/atom
Formation energy from the elements: 0.45 eV/atom

The structure in CIF format:
```
data_NaMg2TlHg
_cell_length_a 5.554
_cell_length_b 5.386
_cell_length_c 5.554
_cell_angle_alpha 90.00
_cell_angle_beta 90.00
_cell_angle_gamma 90.00
_space_group_name_H-M_alt 'P 1'
_space_group_IT_number 1
loop_
_space_group_symop_operation_xyz
'x,y,z'
loop_
_atom_site_label
_atom_site_type_symbol
_atom_site_fract_x
_atom_site_fract_y
_atom_site_fract_z
Mg1 Mg 0.000 0.000 0.500
Mg2 Mg 0.500 0.000 0.000
Tl1 Tl 0.500 0.500 0.500
Hg1 Hg 0.000 0.500 0.000
Na1 Na 0.000 0.000 0.000
```



Record 2
The following is a DFT calculation (GGA-PBE) of an optimized crystal structure of Ta3Tc.

Summary:
Total moment: 0.00 μB/atom
Formation energy from the elements: 0.17 eV/atom
Relative energy among the computed polymorphs: 450 meV per atom

The structure in CIF format:
```
data_Ta3Tc
_cell_length_a 5.672
_cell_length_b 5.672
_cell_length_c 5.073
_cell_angle_alpha 90.00
_cell_angle_beta 90.00
_cell_angle_gamma 120.00
_space_group_name_H-M_alt 'P 1'
_space_group_IT_number 1
loop_
_space_group_symop_operation_xyz
'x,y,z'
loop_
_atom_site_label
_atom_site_type_symbol
_atom_site_fract_x
_atom_site_fract_y
_atom_site_fract_z
Ta1 Ta 0.831 0.169 0.250
Ta2 Ta 0.169 0.338 0.750
Ta3 Ta 0.169 0.831 0.750
Ta4 Ta 0.662 0.831 0.750
Ta5 Ta 0.338 0.169 0.250
Ta6 Ta 0.831 0.662 0.250
Tc1 Tc 0.667 0.333 0.750
Tc2 Tc 0.333 0.667 0.250
```



Record 3
The following is a DFT calculation (GGA-PBE) of an optimized crystal structure of CeZnPd4.

Summary:
Total moment: 0.07 μB/atom
Formation energy from the elements: -0.58 eV/atom
Relative energy among the computed polymorphs: 0 meV per atom

The structure in CIF format:
```
data_CeZnPd4
_cell_length_a 5.347
_cell_length_b 5.347
_cell_length_c 5.347
_cell_angle_alpha 60.00
_cell_angle_beta 60.00
_cell_angle_gamma 60.00
_space_group_name_H-M_alt 'P 1'
_space_group_IT_number 1
loop_
_space_group_symop_operation_xyz
'x,y,z'
loop_
_atom_site_label
_atom_site_type_symbol
_atom_site_fract_x
_atom_site_fract_y
_atom_site_fract_z
Pd1 Pd 0.626 0.626 0.123
Pd2 Pd 0.626 0.626 0.626
Pd3 Pd 0.123 0.626 0.626
Pd4 Pd 0.626 0.123 0.626
Zn1 Zn 0.000 0.000 0.000
Ce1 Ce 0.250 0.250 0.250
```



Record 4
The following is a DFT calculation (GGA-PBE) of an optimized crystal structure of ZrTa3.

Summary:
Total moment: 0.00 μB/atom
Formation energy from the elements: 0.21 eV/atom
Relative energy among the computed polymorphs: 124 meV per atom

The structure in CIF format:
```
data_ZrTa3
_cell_length_a 2.849
_cell_length_b 2.849
_cell_length_c 9.624
_cell_angle_alpha 90.00
_cell_angle_beta 90.00
_cell_angle_gamma 90.00
_space_group_name_H-M_alt 'P 1'
_space_group_IT_number 1
loop_
_space_group_symop_operation_xyz
'x,y,z'
loop_
_atom_site_label
_atom_site_type_symbol
_atom_site_fract_x
_atom_site_fract_y
_atom_site_fract_z
Zr1 Zr 0.500 0.500 0.250
Ta1 Ta 0.500 0.500 0.750
Ta2 Ta 0.000 0.000 0.990
Ta3 Ta 0.000 0.000 0.510
```



Record 5
The following is a DFT calculation (GGA-PBE) of an optimized crystal structure of TeHPd.

Summary:
Total moment: 0.00 μB/atom
Relative energy among the computed polymorphs: 15 meV per atom

The structure in CIF format:
```
data_TeHPd
_cell_length_a 6.100
_cell_length_b 6.143
_cell_length_c 7.117
_cell_angle_alpha 115.11
_cell_angle_beta 90.00
_cell_angle_gamma 90.00
_space_group_name_H-M_alt 'P 1'
_space_group_IT_number 1
loop_
_space_group_symop_operation_xyz
'x,y,z'
loop_
_atom_site_label
_atom_site_type_symbol
_atom_site_fract_x
_atom_site_fract_y
_atom_site_fract_z
H1 H 0.521 0.025 0.055
H2 H 0.021 0.475 0.945
H3 H 0.479 0.975 0.945
H4 H 0.979 0.525 0.055
Pd1 Pd 0.249 0.502 0.504
Pd2 Pd 0.751 0.498 0.496
Pd3 Pd 0.749 0.998 0.496
Pd4 Pd 0.251 0.002 0.504
Te1 Te 0.997 0.870 0.742
Te2 Te 0.497 0.630 0.258
Te3 Te 0.503 0.370 0.742
Te4 Te 0.003 0.130 0.258
```



Record 6
The following is a DFT calculation (GGA-PBE) of an optimized crystal structure of YCu3Sn3.

Summary:
Total moment: 0.00 μB/atom
Formation energy from the elements: 0.27 eV/atom

The structure in CIF format:
```
data_YCu3Sn3
_cell_length_a 7.069
_cell_length_b 7.069
_cell_length_c 7.069
_cell_angle_alpha 90.00
_cell_angle_beta 90.00
_cell_angle_gamma 90.00
_space_group_name_H-M_alt 'P 1'
_space_group_IT_number 1
loop_
_space_group_symop_operation_xyz
'x,y,z'
loop_
_atom_site_label
_atom_site_type_symbol
_atom_site_fract_x
_atom_site_fract_y
_atom_site_fract_z
Cu1 Cu 0.000 0.500 0.750
Cu2 Cu 0.750 0.000 0.500
Cu3 Cu 0.500 0.250 0.000
Cu4 Cu 0.250 0.000 0.500
Cu5 Cu 0.500 0.750 0.000
Cu6 Cu 0.000 0.500 0.250
Sn1 Sn 0.000 0.750 0.500
Sn2 Sn 0.750 0.500 0.000
Sn3 Sn 0.500 0.000 0.750
Sn4 Sn 0.250 0.500 0.000
Sn5 Sn 0.000 0.250 0.500
Sn6 Sn 0.500 0.000 0.250
Y1 Y 0.500 0.500 0.500
Y2 Y 0.000 0.000 0.000
```



Record 7
The following is a DFT calculation (GGA-PBE) of an optimized crystal structure of Tl3In8Ga3.

Summary:
Total moment: 0.00 μB/atom
Formation energy from the elements: 0.04 eV/atom

The structure in CIF format:
```
data_Tl3In8Ga3
_cell_length_a 4.778
_cell_length_b 9.200
_cell_length_c 9.200
_cell_angle_alpha 80.17
_cell_angle_beta 74.95
_cell_angle_gamma 74.95
_space_group_name_H-M_alt 'P 1'
_space_group_IT_number 1
loop_
_space_group_symop_operation_xyz
'x,y,z'
loop_
_atom_site_label
_atom_site_type_symbol
_atom_site_fract_x
_atom_site_fract_y
_atom_site_fract_z
In1 In 0.878 0.763 0.481
In2 In 0.352 0.342 0.953
In3 In 0.122 0.237 0.519
In4 In 0.878 0.481 0.763
In5 In 0.648 0.047 0.658
In6 In 0.122 0.519 0.237
In7 In 0.648 0.658 0.047
In8 In 0.352 0.953 0.342
Tl1 Tl 0.500 0.500 0.500
Tl2 Tl 0.774 0.226 0.226
Tl3 Tl 0.226 0.774 0.774
Ga1 Ga 0.000 0.869 0.131
Ga2 Ga 0.000 0.131 0.869
Ga3 Ga 0.500 0.000 0.000
```



Record 8
The following is a DFT calculation (GGA-PBE) of an optimized crystal structure of Bi2BO.

Summary:
Total moment: 0.00 μB/atom
Relative energy among the computed polymorphs: 326 meV per atom

The structure in CIF format:
```
data_Bi2BO
_cell_length_a 4.594
_cell_length_b 4.594
_cell_length_c 4.594
_cell_angle_alpha 60.00
_cell_angle_beta 60.00
_cell_angle_gamma 60.00
_space_group_name_H-M_alt 'P 1'
_space_group_IT_number 1
loop_
_space_group_symop_operation_xyz
'x,y,z'
loop_
_atom_site_label
_atom_site_type_symbol
_atom_site_fract_x
_atom_site_fract_y
_atom_site_fract_z
Bi1 Bi 0.750 0.750 0.750
Bi2 Bi 0.250 0.250 0.250
B1 B 0.000 0.000 0.000
O1 O 0.500 0.500 0.500
```



Record 9
The following is a DFT calculation (GGA-PBE) of an optimized crystal structure of LiRh5.

Summary:
Total moment: 0.00 μB/atom
Formation energy from the elements: 0.00 eV/atom
Relative energy among the computed polymorphs: 46 meV per atom

The structure in CIF format:
```
data_LiRh5
_cell_length_a 7.145
_cell_length_b 7.145
_cell_length_c 4.319
_cell_angle_alpha 90.00
_cell_angle_beta 90.00
_cell_angle_gamma 157.81
_space_group_name_H-M_alt 'P 1'
_space_group_IT_number 1
loop_
_space_group_symop_operation_xyz
'x,y,z'
loop_
_atom_site_label
_atom_site_type_symbol
_atom_site_fract_x
_atom_site_fract_y
_atom_site_fract_z
Rh1 Rh 0.448 0.552 0.500
Rh2 Rh 0.664 0.336 0.000
Rh3 Rh 0.107 0.893 0.500
Rh4 Rh 0.335 0.665 0.000
Rh5 Rh 0.781 0.219 0.500
Li1 Li 0.998 0.002 0.000
```



Record 10
The following is a DFT calculation (GGA-PBE) of an optimized crystal structure of ZnTePb3.

Summary:
Total moment: 0.00 μB/atom
Relative energy among the computed polymorphs: 380 meV per atom

The structure in CIF format:
```
data_ZnTePb3
_cell_length_a 6.045
_cell_length_b 6.045
_cell_length_c 6.045
_cell_angle_alpha 90.00
_cell_angle_beta 90.00
_cell_angle_gamma 90.00
_space_group_name_H-M_alt 'P 1'
_space_group_IT_number 1
loop_
_space_group_symop_operation_xyz
'x,y,z'
loop_
_atom_site_label
_atom_site_type_symbol
_atom_site_fract_x
_atom_site_fract_y
_atom_site_fract_z
Te1 Te 0.000 0.000 0.000
Pb1 Pb 0.500 0.000 0.000
Pb2 Pb 0.000 0.000 0.500
Pb3 Pb 0.000 0.500 0.000
Zn1 Zn 0.500 0.500 0.500
```



Record 11
The following is a DFT calculation (GGA-PBE) of an optimized crystal structure of TbPd2Au6.

Summary:
Total moment: 0.00 μB/atom
Formation energy from the elements: -0.38 eV/atom
Relative energy among the computed polymorphs: 0 meV per atom

The structure in CIF format:
```
data_TbPd2Au6
_cell_length_a 4.119
_cell_length_b 6.678
_cell_length_c 6.636
_cell_angle_alpha 107.59
_cell_angle_beta 108.08
_cell_angle_gamma 90.00
_space_group_name_H-M_alt 'P 1'
_space_group_IT_number 1
loop_
_space_group_symop_operation_xyz
'x,y,z'
loop_
_atom_site_label
_atom_site_type_symbol
_atom_site_fract_x
_atom_site_fract_y
_atom_site_fract_z
Au1 Au 0.391 0.839 0.782
Au2 Au 0.830 0.492 0.661
Au3 Au 0.274 0.161 0.549
Au4 Au 0.609 0.161 0.218
Au5 Au 0.726 0.839 0.451
Au6 Au 0.170 0.508 0.339
Tb1 Tb 0.500 0.500 0.000
Pd1 Pd 0.948 0.170 0.896
Pd2 Pd 0.052 0.830 0.104
```



Record 12
The following is a DFT calculation (GGA-PBE) of an optimized crystal structure of Pm4PrNi5.

Summary:
Total moment: 0.00 μB/atom
Formation energy from the elements: -0.24 eV/atom

The structure in CIF format:
```
data_Pm4PrNi5
_cell_length_a 3.465
_cell_length_b 3.465
_cell_length_c 17.546
_cell_angle_alpha 90.00
_cell_angle_beta 90.00
_cell_angle_gamma 90.00
_space_group_name_H-M_alt 'P 1'
_space_group_IT_number 1
loop_
_space_group_symop_operation_xyz
'x,y,z'
loop_
_atom_site_label
_atom_site_type_symbol
_atom_site_fract_x
_atom_site_fract_y
_atom_site_fract_z
Ni1 Ni 0.500 0.500 0.896
Ni2 Ni 0.500 0.500 0.500
Ni3 Ni 0.500 0.500 0.301
Ni4 Ni 0.500 0.500 0.104
Ni5 Ni 0.500 0.500 0.699
Pm1 Pm 0.000 0.000 0.599
Pm2 Pm 0.000 0.000 0.798
Pm3 Pm 0.000 0.000 0.202
Pm4 Pm 0.000 0.000 0.401
Pr1 Pr 0.000 0.000 0.000
```



Summary of total energy in eV per atom
-0.99 -11.31 -5.25 -10.82 -4.03 -4.13 -2.68 -4.26 -6.44 -2.52 -4.23 -5.51
(order as listed above)